DFT (PBE) results for a geometry-optimized Pm2MgZn3Cu4 structure.

Cell lengths 4.0387, 4.0387, 11.2891 Å; angles 90.00, 90.00, 90.00 degrees
Closest atoms and distances in Å follow each position.
Atoms (fractional coordinates):
Pm (0.0000, 0.5000, 0.2386)  4 Zn 3.11, 8 Cu 3.12-3.37
Pm (0.5000, 0.0000, 0.7614)  4 Zn 3.11, 8 Cu 3.12-3.37
Mg (0.0000, 0.0000, 0.5000)  4 Cu 2.64, 4 Zn 2.86
Zn (0.0000, 0.5000, 0.8708)  5 Cu 2.49
Zn (0.5000, 0.0000, 0.1292)  5 Cu 2.49
Zn (0.5000, 0.5000, 0.5000)  4 Cu 2.64, 4 Mg 2.86
Cu (0.0000, 0.0000, 0.0000)  4 Zn 2.49
Cu (0.0000, 0.5000, 0.6503)  3 Zn 2.49-2.64, 2 Mg 2.64
Cu (0.5000, 0.0000, 0.3497)  3 Zn 2.49-2.64, 2 Mg 2.64
Cu (0.5000, 0.5000, 0.0000)  4 Zn 2.49

Properties
- Calculated volume: 184.1 Å³/f.u.
- Energy relative to the elements: -0.204 eV/atom
- Fermi-level density of states: 0.680 states/eV/atom
- E_tot: -3.33 eV/atom
- Space group: No. 115